Crystalline Li3Ag2Pd5 at its relaxed geometry, computed with PBE.

calculated total energy	-79.94	eV per cell
SG	No. 2
ΔE_f	-2.56	eV per formula unit

a b c (Å): 7.3221 7.3577 7.3619
angles (deg): 107.54 113.47 107.18
Closest atoms and distances in Å follow each position.
Sites, in units of the cell vectors:
Li  0.0313  0.3485  0.0838  4 Ag 2.70-2.78, 5 Pd 2.71-2.87, 3 Li 2.82-2.93
Li  0.1795  0.4520  0.5368  8 Pd 2.71-2.83, 2 Ag 2.79-2.81, 2 Li 2.81-2.82
Li  0.4396  0.9604  0.2797  8 Pd 2.69-2.86, 2 Ag 2.73-2.80, 2 Li 2.81-2.93
Li  0.5604  0.0396  0.7203  8 Pd 2.69-2.86, 2 Ag 2.73-2.80, 2 Li 2.81-2.93
Li  0.8205  0.5480  0.4632  8 Pd 2.71-2.83, 2 Ag 2.79-2.81, 2 Li 2.81-2.82
Li  0.9687  0.6515  0.9162  4 Ag 2.70-2.78, 5 Pd 2.71-2.87, 3 Li 2.82-2.93
Ag  0.0793  0.0472  0.2267  4 Li 2.73-2.81, 7 Pd 2.76-2.86, 1 Ag 2.83
Ag  0.3166  0.5537  0.9820  4 Li 2.70-2.79, 7 Pd 2.78-2.83, 1 Ag 2.95
Ag  0.6834  0.4463  0.0180  4 Li 2.70-2.79, 7 Pd 2.78-2.83, 1 Ag 2.95
Ag  0.9207  0.9528  0.7733  4 Li 2.73-2.81, 7 Pd 2.76-2.86, 1 Ag 2.83
Pd  0.1267  0.7420  0.3736  6 Li 2.71-2.87, 4 Pd 2.71-2.85, 2 Ag 2.78-2.82
Pd  0.2265  0.1494  0.6740  2 Li 2.72-2.76, 4 Ag 2.77-2.83, 6 Pd 2.79-2.85
Pd  0.2707  0.8481  0.8242  5 Li 2.69-2.83, 5 Pd 2.76-2.85, 2 Ag 2.79-2.81
Pd  0.3808  0.2512  0.1285  3 Li 2.74-2.78, 5 Pd 2.76-2.83, 4 Ag 2.76-2.86
Pd  0.4696  0.6479  0.4287  5 Pd 2.71-2.79, 5 Li 2.71-2.86, 2 Ag 2.79-2.81
Pd  0.5304  0.3521  0.5713  5 Pd 2.71-2.79, 5 Li 2.71-2.86, 2 Ag 2.79-2.81
Pd  0.6192  0.7488  0.8715  3 Li 2.74-2.78, 5 Pd 2.76-2.83, 4 Ag 2.76-2.86
Pd  0.7293  0.1519  0.1758  5 Li 2.69-2.83, 5 Pd 2.76-2.85, 2 Ag 2.79-2.81
Pd  0.7735  0.8506  0.3260  2 Li 2.72-2.76, 4 Ag 2.77-2.83, 6 Pd 2.79-2.85
Pd  0.8733  0.2580  0.6264  6 Li 2.71-2.87, 4 Pd 2.71-2.85, 2 Ag 2.78-2.82

***

Crystalline Cu4TeSe3 at its relaxed geometry, computed with PBE.

calculated total energy	-61.11	eV per cell
SG	No. 31
E_form (uncorrected)	-72	meV per atom

a b c (Å): 7.7939 6.6914 6.5525
angles (deg): 90.00 90.00 90.00
Closest atoms and distances in Å follow each position.
Sites, in units of the cell vectors:
Cu  0.0000  0.1704  0.0000  3 Se 2.38-2.39, 1 Te 2.56
Cu  0.0000  0.8281  0.2222  3 Se 2.43-2.45, 1 Te 2.66, 3 Cu 2.69-2.71
Cu  0.2451  0.3332  0.4991  3 Se 2.38-2.40, 1 Te 2.58
Cu  0.2549  0.6668  0.9991  3 Se 2.38-2.40, 1 Te 2.58
Cu  0.5000  0.1719  0.7222  3 Se 2.43-2.45, 1 Te 2.66, 3 Cu 2.69-2.71
Cu  0.5000  0.8296  0.5000  3 Se 2.38-2.39, 1 Te 2.56
Cu  0.7451  0.6668  0.9991  3 Se 2.38-2.40, 1 Te 2.58
Cu  0.7549  0.3332  0.4991  3 Se 2.38-2.40, 1 Te 2.58
Te  0.0000  0.8335  0.8156  4 Cu 2.56-2.66
Te  0.5000  0.1665  0.3156  4 Cu 2.56-2.66
Se  0.0000  0.1667  0.3629  4 Cu 2.38-2.45
Se  0.2473  0.3342  0.8622  4 Cu 2.38-2.43
Se  0.2527  0.6658  0.3622  4 Cu 2.38-2.43
Se  0.5000  0.8333  0.8629  4 Cu 2.38-2.45
Se  0.7473  0.6658  0.3622  4 Cu 2.38-2.43
Se  0.7527  0.3342  0.8622  4 Cu 2.38-2.43

***

Crystalline Nd12Dy2Th at its relaxed geometry, computed with PBE.

calculated total energy	-142.55	eV per cell
SG	No. 67
ΔE_f	2.57	eV per formula unit

a b c (Å): 6.8577 6.8577 25.1524
angles (deg): 90.00 90.00 116.86
Closest atoms and distances in Å follow each position.
Sites, in units of the cell vectors:
Nd  0.0013  0.5013  0.1264  8 Nd 3.46-3.69, 2 Th 3.63-3.68
Nd  0.0019  0.9981  0.9261  2 Th 3.46-3.47, 9 Nd 3.59-3.72
Nd  0.0188  0.5188  0.5858  7 Nd 3.32-3.69
Nd  0.0245  0.9755  0.4401  5 Nd 3.06-3.42
Nd  0.2500  0.2500  0.1999  3 Nd 3.15-3.46
Nd  0.2500  0.2500  0.3250  3 Nd 3.15-3.42
Nd  0.2500  0.2500  0.6750  3 Nd 3.15-3.42
Nd  0.2500  0.2500  0.8001  3 Nd 3.15-3.46
Nd  0.4755  0.5245  0.4401  5 Nd 3.06-3.42
Nd  0.4812  0.9812  0.5858  7 Nd 3.32-3.69
Nd  0.4981  0.5019  0.9261  2 Th 3.46-3.47, 9 Nd 3.59-3.72
Nd  0.4987  0.9987  0.1264  8 Nd 3.46-3.69, 2 Th 3.63-3.68
Nd  0.5013  0.0013  0.8736  8 Nd 3.46-3.69, 2 Th 3.63-3.68
Nd  0.5019  0.4981  0.0739  2 Th 3.46-3.47, 9 Nd 3.59-3.72
Nd  0.5188  0.0188  0.4142  7 Nd 3.32-3.69
Nd  0.5245  0.4755  0.5599  5 Nd 3.06-3.42
Nd  0.7500  0.7500  0.1999  3 Nd 3.15-3.46
Nd  0.7500  0.7500  0.3250  3 Nd 3.15-3.42
Nd  0.7500  0.7500  0.6750  3 Nd 3.15-3.42
Nd  0.7500  0.7500  0.8001  3 Nd 3.15-3.46
Nd  0.9755  0.0245  0.5599  5 Nd 3.06-3.42
Nd  0.9812  0.4812  0.4142  7 Nd 3.32-3.69
Nd  0.9981  0.0019  0.0739  2 Th 3.46-3.47, 9 Nd 3.59-3.72
Nd  0.9987  0.4987  0.8736  8 Nd 3.46-3.69, 2 Th 3.63-3.68
Dy  0.2500  0.7500  0.2712  2 Dy 3.59, 8 Nd 3.69-3.87
Dy  0.2500  0.7500  0.7333  2 Dy 3.59, 10 Nd 3.73-3.96
Dy  0.7500  0.2500  0.2667  2 Dy 3.59, 10 Nd 3.73-3.96
Dy  0.7500  0.2500  0.7288  2 Dy 3.59, 8 Nd 3.69-3.87
Th  0.2500  0.7500  0.0010  8 Nd 3.46-3.68, 2 Th 3.59
Th  0.7500  0.2500  0.9990  8 Nd 3.46-3.68, 2 Th 3.59

***

Crystalline La3Tb4Bi8 at its relaxed geometry, computed with PBE.

calculated total energy	-75.32	eV per cell
SG	No. 12
ΔE_f	-10.97	eV per formula unit

a b c (Å): 9.1547 9.1547 9.0573
angles (deg): 119.58 119.58 90.09
Closest atoms and distances in Å follow each position.
Sites, in units of the cell vectors:
La  0.0000  0.0000  0.0000  6 Bi 3.29-3.30
La  0.0000  0.5000  0.0000  6 Bi 3.23-3.24
La  0.5000  0.0000  0.0000  6 Bi 3.23-3.24
Tb  0.0000  0.5000  0.5000  6 Bi 3.23-3.24
Tb  0.5000  0.0000  0.5000  6 Bi 3.23-3.24
Tb  0.5000  0.5000  0.0000  6 Bi 3.17-3.19
Tb  0.5000  0.5000  0.5000  6 Bi 3.22-3.25
Bi  0.2505  0.7495  0.5000  3 Tb 3.23, 2 La 3.24
Bi  0.2539  0.2539  0.5097  4 Tb 3.18-3.25, 1 La 3.30
Bi  0.2539  0.7461  0.0000  3 Tb 3.19-3.24, 3 La 3.23-3.29
Bi  0.2569  0.2569  0.0038  2 Tb 3.17-3.22, 3 La 3.24-3.30
Bi  0.7431  0.7431  0.9962  2 Tb 3.17-3.22, 3 La 3.24-3.30
Bi  0.7461  0.2539  0.0000  3 Tb 3.19-3.24, 3 La 3.23-3.29
Bi  0.7461  0.7461  0.4903  4 Tb 3.18-3.25, 1 La 3.30
Bi  0.7495  0.2505  0.5000  3 Tb 3.23, 2 La 3.24

***

Crystalline La3Sn3Pb at its relaxed geometry, computed with PBE.

calculated total energy	-67.85	eV per cell
SG	No. 176
ΔE_f	-3.43	eV per formula unit

a b c (Å): 9.4326 9.4326 6.1782
angles (deg): 90.00 90.00 120.00
Closest atoms and distances in Å follow each position.
Sites, in units of the cell vectors:
La  0.0846  0.6673  0.2500  5 Sn 3.22-3.51
La  0.3327  0.4173  0.2500  5 Sn 3.22-3.51
La  0.4173  0.0846  0.7500  5 Sn 3.22-3.51
La  0.5827  0.9154  0.2500  5 Sn 3.22-3.51
La  0.6673  0.5827  0.7500  5 Sn 3.22-3.51
La  0.9154  0.3327  0.7500  5 Sn 3.22-3.51
Sn  0.0638  0.7564  0.7500  1 Pb 3.05, 4 La 3.22-3.25
Sn  0.2436  0.3074  0.7500  1 Pb 3.05, 4 La 3.22-3.25
Sn  0.3074  0.0638  0.2500  1 Pb 3.05, 4 La 3.22-3.25
Sn  0.6926  0.9362  0.7500  1 Pb 3.05, 4 La 3.22-3.25
Sn  0.7564  0.6926  0.2500  1 Pb 3.05, 4 La 3.22-3.25
Sn  0.9362  0.2436  0.2500  1 Pb 3.05, 4 La 3.22-3.25
Pb  0.3333  0.6667  0.7500  3 Sn 3.05
Pb  0.6667  0.3333  0.2500  3 Sn 3.05

***

Crystalline Li2LaMg2 at its relaxed geometry, computed with PBE.

calculated total energy	-11.76	eV per cell
SG	No. 139
ΔE_f	0.18	eV per formula unit

a b c (Å): 7.9292 7.9292 7.9292
angles (deg): 149.18 149.18 44.15
Closest atoms and distances in Å follow each position.
Sites, in units of the cell vectors:
Li  0.2500  0.7500  0.5000  4 Mg 2.95, 4 Li 2.98
Li  0.7500  0.2500  0.5000  4 Mg 2.95, 4 Li 2.98
La  0.0000  0.0000  0.0000  8 Mg 3.38
Mg  0.3909  0.3909  0.0000  4 Li 2.95, 1 Mg 3.21
Mg  0.6091  0.6091  0.0000  4 Li 2.95, 1 Mg 3.21

***

Crystalline Tb7Nd12Dy at its relaxed geometry, computed with PBE.

calculated total energy	-89.62	eV per cell
SG	No. 166
ΔE_f	4.61	eV per formula unit

a b c (Å): 11.5520 11.5520 11.5520
angles (deg): 116.82 116.82 116.82
Closest atoms and distances in Å follow each position.
Sites, in units of the cell vectors:
Tb  0.0000  0.0000  0.0000  2 Dy 3.13, 6 Tb 3.34
Tb  0.1293  0.3748  0.3748  1 Dy 3.08, 4 Nd 3.33-3.39, 1 Tb 3.34
Tb  0.3748  0.1293  0.3748  1 Dy 3.08, 4 Nd 3.33-3.39, 1 Tb 3.34
Tb  0.3748  0.3748  0.1293  1 Dy 3.08, 4 Nd 3.33-3.39, 1 Tb 3.34
Tb  0.6252  0.6252  0.8707  1 Dy 3.08, 4 Nd 3.33-3.39, 1 Tb 3.34
Tb  0.6252  0.8707  0.6252  1 Dy 3.08, 4 Nd 3.33-3.39, 1 Tb 3.34
Tb  0.8707  0.6252  0.6252  1 Dy 3.08, 4 Nd 3.33-3.39, 1 Tb 3.34
Nd  0.0000  0.4121  0.5879  2 Tb 3.38, 5 Nd 3.40-3.77
Nd  0.0000  0.5879  0.4121  2 Tb 3.38, 5 Nd 3.40-3.77
Nd  0.0843  0.0843  0.4381  4 Tb 3.33-3.61, 1 Nd 3.35
Nd  0.0843  0.4381  0.0843  4 Tb 3.33-3.61, 1 Nd 3.35
Nd  0.4121  0.0000  0.5879  2 Tb 3.38, 5 Nd 3.40-3.77
Nd  0.4121  0.5879  0.0000  2 Tb 3.38, 5 Nd 3.40-3.77
Nd  0.4381  0.0843  0.0843  4 Tb 3.33-3.61, 1 Nd 3.35
Nd  0.5619  0.9157  0.9157  4 Tb 3.33-3.61, 1 Nd 3.35
Nd  0.5879  0.0000  0.4121  2 Tb 3.38, 5 Nd 3.40-3.77
Nd  0.5879  0.4121  0.0000  2 Tb 3.38, 5 Nd 3.40-3.77
Nd  0.9157  0.5619  0.9157  4 Tb 3.33-3.61, 1 Nd 3.35
Nd  0.9157  0.9157  0.5619  4 Tb 3.33-3.61, 1 Nd 3.35
Dy  0.5000  0.5000  0.5000  8 Tb 3.08-3.13

***

Crystalline CaCuPb2 at its relaxed geometry, computed with PBE.

calculated total energy	-26.62	eV per cell
SG	No. 122
ΔE_f	0.20	eV per formula unit

a b c (Å): 10.5573 10.5573 10.5573
angles (deg): 153.61 153.61 37.67
Closest atoms and distances in Å follow each position.
Sites, in units of the cell vectors:
Ca  0.0000  0.0000  0.0000  4 Pb 3.13, 4 Cu 3.41
Ca  0.7500  0.2500  0.5000  4 Pb 3.13, 4 Cu 3.41
Cu  0.2500  0.7500  0.5000  4 Pb 2.94
Cu  0.5000  0.5000  0.0000  4 Pb 2.94
Pb  0.1747  0.6250  0.0497  2 Cu 2.94, 2 Pb 3.09, 2 Ca 3.13
Pb  0.3750  0.4247  0.5497  2 Cu 2.94, 2 Pb 3.09, 2 Ca 3.13
Pb  0.5753  0.1250  0.9503  2 Cu 2.94, 2 Pb 3.09, 2 Ca 3.13
Pb  0.8750  0.8253  0.4503  2 Cu 2.94, 2 Pb 3.09, 2 Ca 3.13

***

Crystalline Ac6Ni3I at its relaxed geometry, computed with PBE.

calculated total energy	-93.62	eV per cell
SG	No. 11
E_form (uncorrected)	-326	meV per atom

a b c (Å): 12.0665 4.2443 15.0925
angles (deg): 90.00 113.35 90.00
Closest atoms and distances in Å follow each position.
Sites, in units of the cell vectors:
Ac  0.0548  0.2500  0.4166  3 Ni 3.02
Ac  0.0658  0.2500  0.9168  3 Ni 2.94-2.96
Ac  0.2525  0.7500  0.7844  3 Ni 2.93-3.02
Ac  0.2591  0.2500  0.2116  3 Ni 2.94-2.96
Ac  0.3946  0.2500  0.6380  3 Ni 2.93-3.07
Ac  0.4150  0.7500  0.0732  3 Ni 2.94
Ac  0.5850  0.2500  0.9268  3 Ni 2.94
Ac  0.6054  0.7500  0.3620  3 Ni 2.93-3.07
Ac  0.7409  0.7500  0.7884  3 Ni 2.94-2.96
Ac  0.7475  0.2500  0.2156  3 Ni 2.93-3.02
Ac  0.9342  0.7500  0.0832  3 Ni 2.94-2.96
Ac  0.9452  0.7500  0.5834  3 Ni 3.02
Ni  0.1382  0.2500  0.6333  6 Ac 3.02-3.07
Ni  0.1673  0.7500  0.0641  6 Ac 2.94-2.96
Ni  0.4938  0.7500  0.7814  6 Ac 2.93-2.94
Ni  0.5062  0.2500  0.2186  6 Ac 2.93-2.94
Ni  0.8327  0.2500  0.9359  6 Ac 2.94-2.96
Ni  0.8618  0.7500  0.3667  6 Ac 3.02-3.07
I  0.3252  0.7500  0.4256  7 Ac 3.65-3.86
I  0.6748  0.2500  0.5744  7 Ac 3.65-3.86

***

Crystalline CrTe2I at its relaxed geometry, computed with PBE.

calculated total energy	-17.80	eV per cell
SG	No. 65
E_form (uncorrected)	-86	meV per atom

a b c (Å): 5.7702 5.7702 4.1312
angles (deg): 90.00 90.00 122.34
Closest atoms and distances in Å follow each position.
Sites, in units of the cell vectors:
Cr  0.0000  0.0000  0.0000  4 Te 2.77, 2 I 2.78
Te  0.1831  0.8169  0.5000  2 Cr 2.77, 2 Te 3.09
Te  0.8169  0.1831  0.5000  2 Cr 2.77, 2 Te 3.09
I  0.5000  0.5000  0.0000  2 Cr 2.78

***

| no. | density of states at the Fermi level (states/eV per atom) | total moment (μB per formula unit) | calculated volume (Å³/f.u.) |
| --- | --- | --- | --- |
| 1 | 0.3683 | 0.00 | 152.6 |
| 2 | 0.7429 | 0.00 | 170.9 |
| 3 | 1.4681 | 0.00 | 527.6 |
| 4 | 0.5840 | 0.00 | 543.1 |
| 5 | 0.3533 | 0.00 | 238.0 |
| 6 | 0.6800 | 0.00 | 130.5 |
| 7 | 1.3646 | 0.00 | 699.3 |
| 8 | 0.4809 | 0.00 | 116.1 |
| 9 | 0.9405 | 0.00 | 354.8 |
| 10 | 0.5029 | 3.05 | 116.2 |